[1]
Co4TeP | PBE-GGA | optimized geometry

a = 4.8828 Å, b = 4.8828 Å, c = 4.8828 Å
α = 60.00°, β = 60.00°, γ = 60.00°
Atoms (fractional coordinates):
P 0.7500 0.7500 0.7500
Co 0.3756 0.3756 0.3756
Co 0.3756 0.3756 0.8731
Co 0.8731 0.3756 0.3756
Co 0.3756 0.8731 0.3756
Te 0.0000 0.0000 0.0000

Summary:
For the total magnetization, the calculation gives 6.55 μB/f.u. Its uncorrected formation energy is 273 kJ/mol of formula units. The density of states at the Fermi level is 9.3 states/eV per cell.



[2]
Co2TeP | PBE-GGA | optimized geometry

a = 3.2047 Å, b = 5.2106 Å, c = 4.9725 Å
α = 44.97°, β = 90.00°, γ = 90.00°
Atoms (fractional coordinates):
P 0.5000 0.5000 0.5000
Co 0.5000 0.5000 0.0000
Te 0.0000 0.0000 0.5000
Co 0.0000 0.0000 0.0000

Summary:
For the total magnetization, the calculation gives 1.17 μB/f.u. Its uncorrected formation energy is 94 kJ/mol of formula units. The density of states at the Fermi level is 3.8 states/eV per cell.



[3]
Co2TeP | PBE-GGA | optimized geometry

a = 4.4148 Å, b = 4.4148 Å, c = 4.4148 Å
α = 60.00°, β = 60.00°, γ = 60.00°
Atoms (fractional coordinates):
Co 0.0000 0.0000 0.0000
P 0.5000 0.5000 0.5000
Co 0.2500 0.2500 0.2500
Te 0.7500 0.7500 0.7500

Summary:
For the total magnetization, the calculation gives 2.36 μB/f.u. Its uncorrected formation energy is 289 kJ/mol of formula units. The density of states at the Fermi level is 7.7 states/eV per cell.



[4]
Th8CoTe4P3 | PBE-GGA | optimized geometry

a = 8.4346 Å, b = 8.8249 Å, c = 8.4344 Å
α = 118.55°, β = 120.00°, γ = 90.00°
Atoms (fractional coordinates):
Th 0.7465 0.7048 0.9756
P 0.5000 0.5000 0.5000
Co 0.0000 0.5000 0.0000
Th 0.2292 0.7048 0.4583
Th 0.7358 0.7074 0.4716
Te 0.0000 0.0000 0.5000
Th 0.2642 0.2926 0.5284
Th 0.2291 0.7048 0.9756
Th 0.7708 0.2952 0.5417
Te 0.0000 0.0000 0.0000
Te 0.5000 0.0000 0.0000
Th 0.2535 0.2952 0.0244
Th 0.7709 0.2952 0.0244
Te 0.5000 0.0000 0.5000
P 0.0000 0.5000 0.5000
P 0.5000 0.5000 0.0000

Summary:
For the total magnetization, the calculation gives 0.00 μB/f.u. Its uncorrected formation energy is -1856 kJ/mol of formula units. The density of states at the Fermi level is 13.0 states/eV per cell.



[5]
Th2Co5P4 | PBE-GGA | optimized geometry

a = 5.2745 Å, b = 5.4146 Å, c = 7.0478 Å
α = 79.50°, β = 68.03°, γ = 60.85°
Atoms (fractional coordinates):
P 0.2125 0.3194 0.2557
P 0.7875 0.6806 0.7443
P 0.4682 0.3194 0.7443
Co 0.5000 0.5000 0.0000
Co 0.0000 0.5000 0.0000
Th 0.1407 0.0000 0.7186
Co 0.2500 0.5000 0.5000
Co 0.7500 0.5000 0.5000
Co 0.5000 0.0000 0.0000
P 0.5318 0.6806 0.2557
Th 0.8593 0.0000 0.2814

Summary:
The energy of formation from the pure elements comes out at -0.8176 eV per atom. For the total magnetization, the calculation gives 1.78 μB/f.u. The density of states at the Fermi level is 7.1 states/eV per cell.



[6]
ThCo4P2 | PBE-GGA | optimized geometry

a = 3.6069 Å, b = 7.2218 Å, c = 7.2218 Å
α = 90.00°, β = 90.00°, γ = 90.00°
Atoms (fractional coordinates):
Co 0.0000 0.6559 0.9172
P 0.0000 0.7773 0.2227
Th 0.5000 0.0000 0.0000
Co 0.5000 0.1559 0.5828
P 0.5000 0.7227 0.7227
Co 0.0000 0.3441 0.0828
Co 0.5000 0.4172 0.8441
P 0.5000 0.2773 0.2773
Co 0.0000 0.0828 0.3441
Co 0.5000 0.5828 0.1559
Th 0.0000 0.5000 0.5000
Co 0.0000 0.9172 0.6559
Co 0.5000 0.8441 0.4172
P 0.0000 0.2227 0.7773

Summary:
The energy of formation from the pure elements comes out at -0.6874 eV per atom. For the total magnetization, the calculation gives 2.42 μB/f.u. The density of states at the Fermi level is 11.8 states/eV per cell. The energy above the most stable polymorph in this dataset is 67 meV per atom.



Look up the total magnetization of the fifth one.
1.78 μB/f.u.



Which value of total magnetization does entry 1 give?
6.55 μB/f.u.



Among the records above, which one has the highest total magnetization?
Co4TeP